Here is a relaxed structure of CrPPt2 from the Alexandria database. Energies are from PBE.

Cell lengths 5.5525, 5.5525, 5.5525 Å; angles 148.02, 138.32, 53.48 degrees
Site moments in Bohr magnetons follow the coordinates.
Element x y z (fractional)
P  0.7500  0.2500  0.5000  -0.10
Cr  0.2500  0.7500  0.5000  2.51
Pt  0.9388  0.9388  0.0000  0.01
Pt  0.5612  0.5612  0.0000  0.01

## Properties
E_tot: -6.98 eV per atom
energy of formation: -0.2006 eV per atom
mass density: 13.1 g cm⁻³
volume: 60 Å³/cell